Computed, not measured: La3PmBi2 after structural relaxation at the PBE level of DFT.

Cell lengths 7.3494, 15.3046, 8.2146 Å; angles 90.00, 90.00, 90.00 degrees
With the nearest neighbours (Å) after each atom.
Space group Ibam (No. 72)
Inequivalent atoms, fractional coordinates:
La 0.0000 0.0000 0.2500 [4 per cell]  4 Bi 3.28
La 0.0000 0.3001 0.2500 [8 per cell]  4 Bi 3.31-3.33, 2 Pm 3.69
Pm 0.0000 0.5000 0.0000 [4 per cell]  2 Bi 3.35, 4 La 3.69
Bi 0.1640 0.1475 0.0000 [8 per cell]  6 La 3.28-3.33, 1 Pm 3.35

Output
* calculated formation energy: -0.49 eV/atom
* raw total energy: -5.037 eV/atom



Computed, not measured: La2PmBi2 after structural relaxation at the PBE level of DFT.

Cell lengths 9.0720, 12.4245, 6.5684 Å; angles 90.00, 90.00, 90.00 degrees
With the nearest neighbours (Å) after each atom.
Space group Ibam (No. 72)
Inequivalent atoms, fractional coordinates:
La 0.1424 0.1482 0.0000 [8 per cell]  5 Bi 3.24-3.39
Pm 0.0000 0.5000 0.2500 [4 per cell]  2 Pm 3.28, 4 Bi 3.32
Bi 0.2207 0.1109 0.5000 [8 per cell]  5 La 3.24-3.39, 2 Pm 3.32

Output
* calculated formation energy: -0.71 eV/atom
* raw total energy: -5.187 eV/atom



Computed, not measured: LaPmBi after structural relaxation at the PBE level of DFT.

Cell lengths 4.7120, 4.7120, 9.1308 Å; angles 90.00, 90.00, 90.00 degrees
With the nearest neighbours (Å) after each atom.
Space group P4/nmm (No. 129, origin choice 2)
Inequivalent atoms, fractional coordinates:
La 0.2500 0.2500 0.1477 [2 per cell]  5 Bi 3.40-3.41
Pm 0.2500 0.7500 0.5000 [2 per cell]  4 Pm 3.33, 4 Bi 3.44
Bi 0.2500 0.2500 0.7749 [2 per cell]  5 La 3.40-3.41, 4 Pm 3.44

Output
* calculated formation energy: -0.70 eV/atom
* raw total energy: -5.218 eV/atom



Computed, not measured: LaPmBi after structural relaxation at the PBE level of DFT.

Cell lengths 3.6543, 6.0116, 18.9875 Å; angles 90.00, 90.00, 90.00 degrees
With the nearest neighbours (Å) after each atom.
Space group Immm (No. 71)
Inequivalent atoms, fractional coordinates:
La 0.0000 0.0000 0.1702 [4 per cell]  5 Bi 3.31-3.53, 2 La 3.65
Pm 0.0000 0.2543 0.5000 [4 per cell]  2 Pm 2.95-3.06
Bi 0.0000 0.0000 0.3444 [4 per cell]  5 La 3.31-3.53, 2 Pm 3.33, 2 Bi 3.65

Output
* calculated formation energy: -0.37 eV/atom
* raw total energy: -4.890 eV/atom



Computed, not measured: LaPmBi after structural relaxation at the PBE level of DFT.

Cell lengths 4.3432, 4.9574, 5.2162 Å; angles 90.00, 90.00, 90.00 degrees
With the nearest neighbours (Å) after each atom.
Space group Pmmm (No. 47)
Inequivalent atoms, fractional coordinates:
La 0.0000 0.0000 0.0000 [1 per cell]  4 Bi 3.39, 4 Pm 3.60
Pm 0.0000 0.5000 0.5000 [1 per cell]  4 Bi 3.30, 4 La 3.60
Bi 0.5000 0.0000 0.5000 [1 per cell]  4 Pm 3.30, 4 La 3.39

Output
* calculated formation energy: -0.42 eV/atom
* raw total energy: -4.943 eV/atom



Computed, not measured: La5Pm5Bi6 after structural relaxation at the PBE level of DFT.

Cell lengths 6.6277, 16.6756, 9.5821 Å; angles 90.00, 90.00, 90.00 degrees
With the nearest neighbours (Å) after each atom.
Space group Amm2 (No. 38)
Inequivalent atoms, fractional coordinates:
La 0.0000 0.0000 0.0000 [2 per cell]  5 Bi 3.27-3.59
La 0.2503 0.1659 0.7457 [8 per cell]  2 La 3.31-3.32, 6 Bi 3.41-3.43
Pm 0.0000 0.1246 0.3698 [4 per cell]  5 Bi 3.21-3.55
Pm 0.5000 0.0000 0.4895 [2 per cell]  5 Bi 3.23-3.58
Pm 0.5000 0.1251 0.1217 [4 per cell]  5 Bi 3.22-3.56
Bi 0.0000 0.0000 0.6254 [2 per cell]  4 Pm 3.21-3.56, 5 La 3.43-3.59
Bi 0.0000 0.1934 0.0547 [4 per cell]  4 Pm 3.23-3.56, 5 La 3.27-3.42
Bi 0.5000 0.0000 0.8636 [2 per cell]  3 Pm 3.24-3.58, 6 La 3.42-3.56
Bi 0.5000 0.1914 0.4369 [4 per cell]  5 Pm 3.22-3.55, 4 La 3.42-3.43

Output
* calculated formation energy: -0.79 eV/atom
* raw total energy: -5.273 eV/atom



Computed, not measured: La3PmBi2 after structural relaxation at the PBE level of DFT.

Cell lengths 4.7318, 4.7318, 9.1941 Å; angles 90.00, 90.00, 90.00 degrees
With the nearest neighbours (Å) after each atom.
Space group P-4m2 (No. 115)
Inequivalent atoms, fractional coordinates:
La 0.0000 0.0000 0.0000 [1 per cell]  4 Pm 3.35, 4 Bi 3.48
La 0.0000 0.5000 0.6459 [2 per cell]  5 Bi 3.39-3.42
Pm 0.5000 0.5000 0.0000 [1 per cell]  4 La 3.35, 4 Bi 3.48
Bi 0.0000 0.5000 0.2775 [2 per cell]  7 La 3.39-3.48, 2 Pm 3.48

Output
* calculated formation energy: -0.70 eV/atom
* raw total energy: -5.250 eV/atom



Computed, not measured: La3PmBi3 after structural relaxation at the PBE level of DFT.

Cell lengths 9.5714, 9.5714, 6.1329 Å; angles 90.00, 90.00, 120.00 degrees
With the nearest neighbours (Å) after each atom.
Space group P6_3/m (No. 176)
Inequivalent atoms, fractional coordinates:
La 0.0120 0.2520 0.2500 [6 per cell]  5 Bi 3.21-3.57
Pm 0.3333 0.6667 0.2500 [2 per cell]  3 Bi 3.35, 3 La 3.61
Bi 0.0556 0.4310 0.7500 [6 per cell]  5 La 3.21-3.57, 1 Pm 3.35

Output
* calculated formation energy: -0.63 eV/atom
* raw total energy: -5.085 eV/atom